Density functional theory data (GGA-PBE) for an optimized crystal structure of Cr2GaC.

It has space group P6_3/mmc (No. 194), with a = 2.8700 Å, b = 2.8700 Å, c = 12.5233 Å, α = 90.00°, β = 90.00° and γ = 120.00°. Symmetry generates all atoms from Cr at (0.3333, 0.6667, 0.0847), Ga at (0.3333, 0.6667, 0.7500) and C at (0.0000, 0.0000, 0.0000).

As for the density of states at the Fermi level: 5.81 states/eV per cell. The energy above the most stable polymorph in this dataset is 0 meV/atom. As for the formation enthalpy at 0 K: -0.147 eV per atom.